# 1
## Y3Fe2Ge4 (PBE)

Data for crystalline Y3Fe2Ge4 at its relaxed geometry.

```
Y3Fe2Ge4
1.0
-1.0645 -2.2294 -3.4218
-2.3968 -2.1190 4.7290
-4.6692 6.0383 -2.4815
Ge Y Fe
4 3 2
Direct
0.8975 0.7949 0.5967
0.2882 0.5764 0.9161
0.7118 0.4236 0.0839
0.1025 0.2051 0.4033
0.0000 0.0000 0.0000
0.6213 0.2427 0.6938
0.3787 0.7573 0.3062
0.6857 0.3713 0.3646
0.3143 0.6287 0.6354
```

Output
Its total DFT energy (no corrections) is -6.730 eV/atom. Its space-group type is C2/m. The formation energy is -62.0 kJ/mol of atoms.

---

# 2
## YFe2Ge (PBE)

Data for crystalline YFe2Ge at its relaxed geometry.

```
YFe2Ge
1.0
-3.8572 -1.2900 -1.3935
1.8873 -2.2565 -3.1353
-0.5731 -8.5079 2.8305
Y Fe Ge
2 4 2
Direct
0.7500 0.2500 0.5000
0.0000 0.0000 0.0000
0.3750 0.5552 0.7500
0.4448 0.1250 0.2500
0.3052 0.6250 0.2500
0.8750 0.6948 0.7500
0.5000 0.5000 0.0000
0.2500 0.7500 0.5000
```

Output
Its total DFT energy (no corrections) is -6.896 eV/atom. Its space-group type is I-42d. The formation energy is 10.2 kJ/mol of atoms.

---

# 3
## YFe3Ge3 (PBE)

Data for crystalline YFe3Ge3 at its relaxed geometry.

```
YFe3Ge3
1.0
6.9100 -0.0004 3.9889
2.3030 6.5097 3.9889
-0.0004 -0.0003 7.9785
Ge Fe Y
6 6 2
Direct
0.6621 0.3378 0.3379
0.3379 0.3378 0.6621
0.6621 0.6622 0.3379
0.3379 0.6622 0.6621
0.3379 0.6622 0.3379
0.6621 0.3378 0.6621
0.8580 0.1421 0.1419
0.1419 0.1421 0.8580
0.8581 0.8579 0.1420
0.1420 0.8580 0.1420
0.1420 0.8579 0.8581
0.8580 0.1420 0.8580
0.2500 0.2500 0.2500
0.7500 0.7500 0.7500
```

Output
Its total DFT energy (no corrections) is -5.706 eV/atom. The excess energy over the best structure of this formula in the dataset comes out at 1080 meV/atom. Its space-group type is Fm-3m. The formation energy is 79.4 kJ/mol of atoms.

---

# 4
## Y2FeGe3 (PBE)

Data for crystalline Y2FeGe3 at its relaxed geometry.

```
Y2FeGe3
1.0
3.9033 0.0000 1.6347
1.6990 5.1848 1.4206
-0.1196 -0.0151 5.7631
Ge Fe Y
3 1 2
Direct
0.8867 0.5840 0.6426
0.1780 0.7380 0.9061
0.7912 0.2691 0.1485
0.1664 0.4011 0.2661
0.4328 0.8205 0.3139
0.5449 0.1873 0.7228
```

Output
Its total DFT energy (no corrections) is -6.430 eV/atom. Its space-group type is Cm. The formation energy is -53.6 kJ/mol of atoms.

---

# 5
## YFe3Ge3 (PBE)

Data for crystalline YFe3Ge3 at its relaxed geometry.

```
YFe3Ge3
1.0
-1.9976 3.1387 -1.5906
-5.3076 -5.1500 -3.4969
-1.4487 2.8868 7.5159
Fe Y Ge
6 2 6
Direct
0.7500 0.0568 0.1994
0.2500 0.1994 0.1426
0.2500 0.8574 0.0568
0.7500 0.8006 0.8574
0.2500 0.9432 0.8006
0.7500 0.1426 0.9432
0.2500 0.6667 0.3333
0.7500 0.3333 0.6667
0.7500 0.7128 0.0960
0.7500 0.3832 0.2872
0.2500 0.0960 0.3832
0.2500 0.6168 0.7128
0.7500 0.9040 0.6168
0.2500 0.2872 0.9040
```

Output
Its total DFT energy (no corrections) is -6.787 eV/atom. The excess energy over the best structure of this formula in the dataset comes out at 0 meV/atom. Its space-group type is P6_3/m. The formation energy is -24.8 kJ/mol of atoms.

---

# 6
## YFeGe2 (PBE)

Data for crystalline YFeGe2 at its relaxed geometry.

```
YFeGe2
1.0
4.3048 0.9549 1.1626
1.0622 0.7860 4.3644
2.4617 -3.0488 2.3322
Ge Fe Y
2 1 1
Direct
0.2500 0.2500 0.2500
0.7500 0.7500 0.7500
0.0000 0.0000 0.0000
0.5000 0.5000 0.5000
```

Output
Its total DFT energy (no corrections) is -6.109 eV/atom. Its space-group type is Fm-3m. The formation energy is -6.7 kJ/mol of atoms.